# 1
First-principles (PBE) data for an optimized crystal structure of Pr4IrBr5, as listed in the Alexandria database.

## Properties
Total magnetization (Bohr magnetons per cell): 0.003
DOS at the Fermi energy (states/eV/f.u.): 6.5
Formation energy without anion corrections (eV/atom): -1.482

Cell: 4.1812 8.8534 9.9282 Å, 104.24 102.16 90.00°
With the nearest neighbours (Å) after each atom.
Element x y z (fractional)
Br 0.8323 0.6556 0.6646  3 Pr 3.02-3.17
Pr 0.3484 0.9083 0.6968  1 Ir 2.85, 4 Br 3.02-3.09
Pr 0.0000 0.2170 0.0001  2 Ir 2.84, 1 Br 3.17
Br 0.8269 0.1500 0.6537  4 Pr 3.09-3.31
Br 0.1677 0.3444 0.3354  3 Pr 3.02-3.17
Pr 0.0000 0.7830 0.9999  2 Ir 2.84, 1 Br 3.17
Br 0.1731 0.8500 0.3463  4 Pr 3.09-3.31
Ir 0.5000 0.0000 0.0000  6 Pr 2.84-2.85
Br 0.5000 0.5000 0.0000  4 Pr 3.26
Pr 0.6516 0.0917 0.3032  1 Ir 2.85, 4 Br 3.02-3.09


# 2
First-principles (PBE) data for an optimized crystal structure of Mg2Ti2H, as listed in the Alexandria database.

## Properties
E_tot (eV per atom): -4.354
Total magnetization (Bohr magnetons per cell): 0.000
DOS at the Fermi energy (states/eV/f.u.): 4.2

Cell: 5.5537 5.5537 5.2907 Å, 90.00 90.00 90.00°
With the nearest neighbours (Å) after each atom.
Element x y z (fractional)
Mg 0.3299 0.1701 0.5000  5 Mg 2.67-2.92, 2 Ti 2.95
Mg 0.6701 0.8299 0.5000  5 Mg 2.67-2.92, 2 Ti 2.95
Mg 0.1701 0.6701 0.5000  5 Mg 2.67-2.92, 2 Ti 2.95
Ti 0.8369 0.6631 0.0000  2 H 2.08
Ti 0.6631 0.1631 0.0000  2 H 2.08
H 0.5000 0.5000 0.0000  4 Ti 2.08
Mg 0.8299 0.3299 0.5000  5 Mg 2.67-2.92, 2 Ti 2.95
Ti 0.1631 0.3369 0.0000  2 H 2.08
H 0.0000 0.0000 0.0000  4 Ti 2.08
Ti 0.3369 0.8369 0.0000  2 H 2.08